Run a
Material: Ce5Bi2Ir
Method: DFT, GGA-PBE
State: optimized geometry

Unit cell a=8.044 b=12.621 c=4.653 alpha=90.00 beta=90.00 gamma=90.00
Space group Pbam (No. 55)
Unique sites:
1 Ce 0.000 0.000 0.000
2 Ce 0.125 0.303 0.000
3 Ce 0.207 0.557 0.500
4 Bi 0.087 0.821 0.500
5 Ir 0.000 0.500 0.000

Output
The crystal system is orthorhombic.


Run b
Material: Ce5Bi2Ir
Method: DFT, GGA-PBE
State: optimized geometry

Unit cell a=5.766 b=16.561 c=13.202 alpha=90.00 beta=90.00 gamma=90.00
Space group Cmcm (No. 63)
Unique sites:
1 Ce 0.000 0.051 0.099
2 Ce 0.000 0.279 0.085
3 Ce 0.000 0.314 0.750
4 Bi 0.000 0.144 0.612
5 Ir 0.000 0.167 0.250

Output
The crystal system is orthorhombic.


Name the most stable of them. run a.


Run a
Material: KCeBi2
Method: DFT, GGA-PBE
State: optimized geometry

Unit cell a=4.7629 b=4.7629 c=24.7569 alpha=90.00 beta=90.00 gamma=120.00
Space group R3m (No. 160, hexagonal axes)
Unique sites:
1 K 0.0000 0.0000 0.0000
2 Ce 0.0000 0.0000 0.1710
3 Bi 0.0000 0.0000 0.5690
4 Bi 0.0000 0.0000 0.7715

Output
The crystal system is trigonal.


Run b
Material: KCeBi2
Method: DFT, GGA-PBE
State: optimized geometry

Unit cell a=4.8301 b=4.8301 c=23.9403 alpha=90.00 beta=90.00 gamma=120.00
Space group R-3m (No. 166, hexagonal axes)
Unique sites:
1 K 0.0000 0.0000 0.0000
2 Ce 0.0000 0.0000 0.5000
3 Bi 0.0000 0.0000 0.2312

Output
The crystal system is trigonal.


Name the most stable of them. run b.


Run a
Material: LaCe2Bi
Method: DFT, GGA-PBE
State: optimized geometry

Unit cell a=4.0143 b=4.0143 c=29.4390 alpha=90.00 beta=90.00 gamma=120.00
Space group R-3m (No. 166, hexagonal axes)
Unique sites:
1 La 0.0000 0.0000 0.0000
2 Ce 0.0000 0.0000 0.3924
3 Bi 0.0000 0.0000 0.5000

Output
The crystal system is trigonal.


Run b
Material: LaCe2Bi
Method: DFT, GGA-PBE
State: optimized geometry

Unit cell a=4.868 b=4.868 c=5.022 alpha=90.00 beta=90.00 gamma=90.00
Space group P4/mmm (No. 123)
Unique sites:
1 La 0.000 0.000 0.000
2 Ce 0.000 0.500 0.500
3 Bi 0.500 0.500 0.000

Output
The crystal system is tetragonal.


Name the most stable of them. run b.


Run a
Material: LaCeBi2
Method: DFT, GGA-PBE
State: optimized geometry

Unit cell a=3.997 b=3.997 c=7.979 alpha=90.00 beta=90.00 gamma=90.00
Space group P4/mmm (No. 123)
Unique sites:
1 La 0.000 0.000 0.000
2 Ce 0.000 0.000 0.500
3 Bi 0.500 0.500 0.257

Output
The crystal system is tetragonal.


Run b
Material: LaCeBi2
Method: DFT, GGA-PBE
State: optimized geometry

Unit cell a=4.504 b=25.826 c=4.819 alpha=90.00 beta=90.00 gamma=90.00
Space group Cmcm (No. 63)
Unique sites:
1 La 0.000 0.061 0.250
2 Ce 0.000 0.314 0.250
3 Bi 0.000 0.188 0.250
4 Bi 0.000 0.442 0.250

Output
The crystal system is orthorhombic.


Run c
Material: LaCeBi2
Method: DFT, GGA-PBE
State: optimized geometry

Unit cell a=4.5904 b=4.5904 c=23.8831 alpha=90.00 beta=90.00 gamma=120.00
Space group R3m (No. 160, hexagonal axes)
Unique sites:
1 La 0.0000 0.0000 0.0000
2 Ce 0.0000 0.0000 0.1713
3 Bi 0.0000 0.0000 0.5825
4 Bi 0.0000 0.0000 0.7558

Output
The crystal system is trigonal.


Name the most stable of them. run b.


Run a
Material: LaCeBi2
Method: DFT, GGA-PBE
State: optimized geometry

Unit cell a=7.993 b=7.993 c=7.993 alpha=90.00 beta=90.00 gamma=90.00
Space group Fm-3m (No. 225)
Unique sites:
1 La 0.000 0.000 0.000
2 Ce 0.000 0.000 0.500
3 Bi 0.250 0.250 0.250

Output
The crystal system is cubic.


Run b
Material: LaCeBi2
Method: DFT, GGA-PBE
State: optimized geometry

Unit cell a=4.6217 b=4.6217 c=15.4019 alpha=90.00 beta=90.00 gamma=120.00
Space group P6_3/mmc (No. 194)
Unique sites:
1 La 0.3333 0.6667 0.2500
2 Ce 0.0000 0.0000 0.0000
3 Bi 0.3333 0.6667 0.6194

Output
The crystal system is hexagonal.


Name the most stable of them. run b.


Run a
Material: Li3CeBi2
Method: DFT, GGA-PBE
State: optimized geometry

Unit cell a=4.7159 b=4.7159 c=7.4987 alpha=90.00 beta=90.00 gamma=120.00
Space group P-3m1 (No. 164)
Unique sites:
1 Li 0.0000 0.0000 0.0000
2 Li 0.3333 0.6667 0.8528
3 Ce 0.0000 0.0000 0.5000
4 Bi 0.3333 0.6667 0.2479

Output
The crystal system is trigonal.


Run b
Material: Li3CeBi2
Method: DFT, GGA-PBE
State: optimized geometry

Unit cell a=17.959 b=4.512 c=10.985 alpha=90.00 beta=101.27 gamma=90.00
Space group C2/m (No. 12)
Unique sites:
1 Li 0.000 0.000 0.000
2 Li 0.048 0.500 0.848
3 Li 0.120 0.000 0.725
4 Li 0.181 0.000 0.486
5 Li 0.207 0.500 0.901
6 Ce 0.000 0.500 0.500
7 Ce 0.168 0.500 0.218
8 Bi 0.045 0.000 0.303
9 Bi 0.145 0.000 0.991
10 Bi 0.192 0.500 0.641

Output
The crystal system is monoclinic.


Name the most stable of them. run a.


Run a
Material: LiCe2Bi
Method: DFT, GGA-PBE
State: optimized geometry

Unit cell a=4.364 b=4.364 c=5.195 alpha=90.00 beta=90.00 gamma=90.00
Space group P4/mmm (No. 123)
Unique sites:
1 Li 0.000 0.000 0.000
2 Ce 0.000 0.500 0.500
3 Bi 0.500 0.500 0.000

Output
The crystal system is tetragonal.


Run b
Material: LiCe2Bi
Method: DFT, GGA-PBE
State: optimized geometry

Unit cell a=3.2991 b=3.2991 c=36.9045 alpha=90.00 beta=90.00 gamma=120.00
Space group R-3m (No. 166, hexagonal axes)
Unique sites:
1 Li 0.0000 0.0000 0.0000
2 Ce 0.0000 0.0000 0.0888
3 Bi 0.0000 0.0000 0.5000

Output
The crystal system is trigonal.


Name the most stable of them. run a.


Run a
Material: CeMgBi
Method: DFT, GGA-PBE
State: optimized geometry

Unit cell a=4.9062 b=4.9062 c=4.1306 alpha=90.00 beta=90.00 gamma=120.00
Space group P3m1 (No. 156)
Unique sites:
1 Ce 0.0000 0.0000 0.0000
2 Mg 0.3333 0.6667 0.4990
3 Bi 0.6667 0.3333 0.5006

Output
The crystal system is trigonal.


Run b
Material: CeMgBi
Method: DFT, GGA-PBE
State: optimized geometry

Unit cell a=3.898 b=3.898 c=11.398 alpha=90.00 beta=90.00 gamma=90.00
Space group I4mm (No. 107)
Unique sites:
1 Ce 0.000 0.000 0.000
2 Mg 0.000 0.000 0.314
3 Bi 0.000 0.000 0.682

Output
The crystal system is tetragonal.


Name the most stable of them. run a.


Run a
Material: CeMgBi2
Method: DFT, GGA-PBE
State: optimized geometry

Unit cell a=5.144 b=5.144 c=4.261 alpha=90.00 beta=90.00 gamma=90.00
Space group P4/mmm (No. 123)
Unique sites:
1 Ce 0.000 0.000 0.000
2 Mg 0.500 0.500 0.000
3 Bi 0.000 0.500 0.500

Output
The crystal system is tetragonal.


Run b
Material: CeMgBi2
Method: DFT, GGA-PBE
State: optimized geometry

Unit cell a=7.741 b=7.741 c=7.741 alpha=90.00 beta=90.00 gamma=90.00
Space group Fm-3m (No. 225)
Unique sites:
1 Ce 0.000 0.000 0.000
2 Mg 0.000 0.000 0.500
3 Bi 0.250 0.250 0.250

Output
The crystal system is cubic.


Run c
Material: CeMgBi2
Method: DFT, GGA-PBE
State: optimized geometry

Unit cell a=4.108 b=4.108 c=6.867 alpha=90.00 beta=90.00 gamma=90.00
Space group P4/mmm (No. 123)
Unique sites:
1 Ce 0.000 0.000 0.000
2 Mg 0.000 0.000 0.500
3 Bi 0.500 0.500 0.251

Output
The crystal system is tetragonal.


Name the most stable of them. run a.


Run a
Material: Ce2MgBi
Method: DFT, GGA-PBE
State: optimized geometry

Unit cell a=7.783 b=7.783 c=7.783 alpha=90.00 beta=90.00 gamma=90.00
Space group Fm-3m (No. 225)
Unique sites:
1 Ce 0.250 0.250 0.250
2 Mg 0.000 0.000 0.000
3 Bi 0.000 0.000 0.500

Output
The crystal system is cubic.


Run b
Material: Ce2MgBi
Method: DFT, GGA-PBE
State: optimized geometry

Unit cell a=4.791 b=4.791 c=4.843 alpha=90.00 beta=90.00 gamma=90.00
Space group P4/mmm (No. 123)
Unique sites:
1 Ce 0.000 0.500 0.000
2 Mg 0.000 0.000 0.500
3 Bi 0.500 0.500 0.500

Output
The crystal system is tetragonal.


Run c
Material: Ce2MgBi
Method: DFT, GGA-PBE
State: optimized geometry

Unit cell a=3.2874 b=3.2874 c=37.3157 alpha=90.00 beta=90.00 gamma=120.00
Space group R-3m (No. 166, hexagonal axes)
Unique sites:
1 Ce 0.0000 0.0000 0.0894
2 Mg 0.0000 0.0000 0.0000
3 Bi 0.0000 0.0000 0.5000

Output
The crystal system is trigonal.


Name the most stable of them. run b.


Run a
Material: Ce2MgBi3
Method: DFT, GGA-PBE
State: optimized geometry

Unit cell a=4.546 b=4.546 c=19.303 alpha=90.00 beta=90.00 gamma=90.00
Space group I4/mmm (No. 139)
Unique sites:
1 Ce 0.000 0.000 0.163
2 Mg 0.000 0.000 0.500
3 Bi 0.000 0.000 0.000
4 Bi 0.000 0.000 0.333

Output
The crystal system is tetragonal.


Run b
Material: Ce2MgBi3
Method: DFT, GGA-PBE
State: optimized geometry

Unit cell a=4.085 b=5.402 c=17.620 alpha=90.00 beta=90.00 gamma=90.00
Space group Immm (No. 71)
Unique sites:
1 Ce 0.000 0.000 0.146
2 Mg 0.000 0.000 0.500
3 Bi 0.000 0.000 0.328
4 Bi 0.000 0.500 0.500

Output
The crystal system is orthorhombic.


Name the most stable of them. run a.


Run a
Material: CeMgBiPb
Method: DFT, GGA-PBE
State: optimized geometry

Unit cell a=7.702 b=7.702 c=7.702 alpha=90.00 beta=90.00 gamma=90.00
Space group F-43m (No. 216)
Unique sites:
1 Ce 0.000 0.000 0.000
2 Mg 0.000 0.000 0.500
3 Bi 0.250 0.250 0.750
4 Pb 0.250 0.250 0.250

Output
The crystal system is cubic.


Run b
Material: CeMgBiPb
Method: DFT, GGA-PBE
State: optimized geometry

Unit cell a=4.431 b=4.981 c=5.066 alpha=90.00 beta=90.00 gamma=90.00
Space group Pmmm (No. 47)
Unique sites:
1 Ce 0.000 0.000 0.000
2 Mg 0.000 0.500 0.500
3 Bi 0.500 0.500 0.000
4 Pb 0.500 0.000 0.500

Output
The crystal system is orthorhombic.


Name the most stable of them. run b.